# LaAgHg4 PBE optimized geometry
data_LaAgHg4
_chemical_formula_sum 'La2 Ag2 Hg8'
_space_group_name_H-M_alt 'P 1'
_space_group_IT_number 1
_cell_length_a 5.3993
_cell_length_b 5.3920
_cell_length_c 10.7980
_cell_angle_alpha 103.59
_cell_angle_beta 103.42
_cell_angle_gamma 90.02
loop_
_space_group_symop_operation_xyz
'x,y,z'
loop_
_atom_site_label
_atom_site_type_symbol
_atom_site_fract_x
_atom_site_fract_y
_atom_site_fract_z
_atom_site_occupancy
Hg1 Hg 0.9203 0.9216 0.3509 1
Hg2 Hg 0.8397 0.3410 0.1921 1
Hg3 Hg 0.6602 0.1591 0.8079 1
Hg4 Hg 0.1603 0.6590 0.8079 1
Hg5 Hg 0.5796 0.5784 0.6492 1
Hg6 Hg 0.3398 0.8409 0.1921 1
Hg7 Hg 0.0797 0.0784 0.6491 1
Hg8 Hg 0.4204 0.4216 0.3508 1
Ag1 Ag 0.0000 0.5000 0.5000 1
Ag2 Ag 0.5000 0.0000 0.5000 1
La1 La 0.7500 0.7500 0.0000 1
La2 La 0.2500 0.2500 0.0000 1
# space group	P-1, No. 2
# E_tot	-0.1217	Ry/atom
# relative energy among the computed polymorphs	0.082	eV/atom
# energy of formation from the pure elements	-0.158	eV per atom


# La6Ag3Hg PBE optimized geometry
data_La6Ag3Hg
_chemical_formula_sum 'La12 Ag6 Hg2'
_space_group_name_H-M_alt 'P 1'
_space_group_IT_number 1
_cell_length_a 5.2453
_cell_length_b 9.5937
_cell_length_c 12.5591
_cell_angle_alpha 104.71
_cell_angle_beta 90.00
_cell_angle_gamma 90.00
loop_
_space_group_symop_operation_xyz
'x,y,z'
loop_
_atom_site_label
_atom_site_type_symbol
_atom_site_fract_x
_atom_site_fract_y
_atom_site_fract_z
_atom_site_occupancy
La1 La 0.7500 0.3533 0.2789 1
La2 La 0.2500 0.5308 0.1043 1
La3 La 0.2500 0.8806 0.3624 1
La4 La 0.7500 0.7007 0.5128 1
La5 La 0.2500 0.1299 0.8912 1
La6 La 0.2500 0.6467 0.7211 1
La7 La 0.7500 0.1194 0.6376 1
La8 La 0.7500 0.8701 0.1088 1
La9 La 0.7500 0.8770 0.8482 1
La10 La 0.7500 0.4692 0.8957 1
La11 La 0.2500 0.1230 0.1518 1
La12 La 0.2500 0.2993 0.4872 1
Ag1 Ag 0.2500 0.3336 0.7410 1
Ag2 Ag 0.2500 0.5468 0.3592 1
Ag3 Ag 0.7500 0.2223 0.0271 1
Ag4 Ag 0.7500 0.4532 0.6408 1
Ag5 Ag 0.2500 0.7777 0.9729 1
Ag6 Ag 0.7500 0.6664 0.2590 1
Hg1 Hg 0.7500 0.0709 0.3626 1
Hg2 Hg 0.2500 0.9291 0.6374 1
# space group	P2_1/m, No. 11
# E_tot	-0.2990	Ry/atom
# energy of formation from the pure elements	-0.227	eV per atom


# La2AgHg2 PBE optimized geometry
data_La2AgHg2
_chemical_formula_sum 'La4 Ag2 Hg4'
_space_group_name_H-M_alt 'P 1'
_space_group_IT_number 1
_cell_length_a 8.7479
_cell_length_b 8.7479
_cell_length_c 4.0262
_cell_angle_alpha 90.00
_cell_angle_beta 90.00
_cell_angle_gamma 90.00
loop_
_space_group_symop_operation_xyz
'x,y,z'
loop_
_atom_site_label
_atom_site_type_symbol
_atom_site_fract_x
_atom_site_fract_y
_atom_site_fract_z
_atom_site_occupancy
Hg1 Hg 0.8665 0.3665 0.5000 1
Hg2 Hg 0.1335 0.6335 0.5000 1
Hg3 Hg 0.6335 0.8665 0.5000 1
Hg4 Hg 0.3665 0.1335 0.5000 1
Ag1 Ag 0.5000 0.5000 0.0000 1
Ag2 Ag 0.0000 0.0000 0.0000 1
La1 La 0.8354 0.6646 0.0000 1
La2 La 0.6646 0.1646 0.0000 1
La3 La 0.3354 0.8354 0.0000 1
La4 La 0.1646 0.3354 0.0000 1
# space group	P4/mbm, No. 127
# E_tot	-0.2081	Ry/atom
# relative energy among the computed polymorphs	0.232	eV/atom
# energy of formation from the pure elements	-0.169	eV per atom


# LaAg4Hg PBE optimized geometry
data_LaAg4Hg
_chemical_formula_sum 'La1 Ag4 Hg1'
_space_group_name_H-M_alt 'P 1'
_space_group_IT_number 1
_cell_length_a 5.6761
_cell_length_b 5.6761
_cell_length_c 5.6761
_cell_angle_alpha 60.00
_cell_angle_beta 60.00
_cell_angle_gamma 60.00
loop_
_space_group_symop_operation_xyz
'x,y,z'
loop_
_atom_site_label
_atom_site_type_symbol
_atom_site_fract_x
_atom_site_fract_y
_atom_site_fract_z
_atom_site_occupancy
Hg1 Hg 0.2500 0.2500 0.2500 1
La1 La 0.0000 0.0000 0.0000 1
Ag1 Ag 0.6243 0.1272 0.6243 1
Ag2 Ag 0.6243 0.6243 0.1272 1
Ag3 Ag 0.6243 0.6243 0.6243 1
Ag4 Ag 0.1272 0.6243 0.6243 1
# space group	F-43m, No. 216
# E_tot	-0.2206	Ry/atom
# energy of formation from the pure elements	-0.229	eV per atom